# 1
Ba3NiIrRuO9: optimized geometry, PBEsol.

Summary:
Raw total energy (eV per atom): -7.020
Formation energy from raw total energies (eV per atom): -1.6969

a b c (Å): 5.7023 5.7023 14.0088
angles (deg): 90.00 90.00 120.00
With the nearest neighbours (Å) after each atom.
Space group P-3m1 (No. 164)
One atom of each set of equivalent atoms:
Ba (0.0000, 0.0000, 0.2487) [2 per cell]  12 O 2.85-2.91
Ba (0.3333, 0.6667, 0.5861) [2 per cell]  12 O 2.85-2.86
Ba (0.3333, 0.6667, 0.9160) [2 per cell]  12 O 2.85-2.93
Ni (0.0000, 0.0000, 0.0000) [1 per cell]  6 O 2.03
Ni (0.0000, 0.0000, 0.5000) [1 per cell]  6 O 2.03
Ir (0.3333, 0.6667, 0.1610) [2 per cell]  6 O 1.96-2.01
Ru (0.3333, 0.6667, 0.3435) [2 per cell]  6 O 1.93-2.01
O (0.0193, 0.5096, 0.2523) [6 per cell]  1 Ru 2.01, 1 Ir 2.01
O (0.1685, 0.3370, 0.0831) [6 per cell]  1 Ir 1.96, 1 Ni 2.03
O (0.1700, 0.3401, 0.4187) [6 per cell]  1 Ru 1.93, 1 Ni 2.03



# 2
BaNi2SbIr: optimized geometry, PBEsol.

Summary:
Raw total energy (eV per atom): -5.336
Formation energy from raw total energies (eV per atom): 0.4327

a b c (Å): 4.7295 4.7295 5.0005
angles (deg): 90.00 90.00 90.00
With the nearest neighbours (Å) after each atom.
Space group P4/mmm (No. 123)
One atom of each set of equivalent atoms:
Ba (0.0000, 0.0000, 0.0000) [1 per cell]  4 Ir 3.34, 8 Ni 3.44
Ni (0.0000, 0.5000, 0.5000) [2 per cell]  2 Sb 2.36
Sb (0.5000, 0.5000, 0.5000) [1 per cell]  4 Ni 2.36, 2 Ir 2.50
Ir (0.5000, 0.5000, 0.0000) [1 per cell]  2 Sb 2.50



# 3
Ba7Ir6O19: optimized geometry, PBEsol.

Summary:
Raw total energy (eV per atom): -7.120
Formation energy from raw total energies (eV per atom): -1.6910

a b c (Å): 14.8285 5.7295 11.0048
angles (deg): 90.00 99.33 90.00
With the nearest neighbours (Å) after each atom.
Space group C2/m (No. 12)
One atom of each set of equivalent atoms:
Ba (0.0000, 0.0000, 0.0000) [2 per cell]  12 O 2.74-3.06
Ba (0.0730, 0.0000, 0.6624) [4 per cell]  6 O 2.60-2.88
Ba (0.1449, 0.5000, 0.4457) [4 per cell]  8 O 2.70-2.99
Ba (0.1978, 0.5000, 0.0911) [4 per cell]  12 O 2.81-3.12
Ir (0.0221, 0.5000, 0.8232) [4 per cell]  6 O 1.99-2.05
Ir (0.1563, 0.0000, 0.2820) [4 per cell]  6 O 1.98-2.09
Ir (0.1817, 0.5000, 0.7655) [4 per cell]  6 O 2.00-2.09
O (0.0000, 0.5000, 0.0000) [2 per cell]  2 Ir 2.02
O (0.0555, 0.5000, 0.6496) [4 per cell]  2 Ir 2.05-2.09
O (0.0721, 0.2501, 0.2056) [8 per cell]  2 Ir 1.99
O (0.1042, 0.0000, 0.4369) [4 per cell]  1 Ir 1.98
O (0.1245, 0.2659, 0.8689) [8 per cell]  2 Ir 2.03
O (0.2026, 0.0000, 0.1124) [4 per cell]  2 Ir 2.00-2.09
O (0.2416, 0.2685, 0.6625) [8 per cell]  2 Ir 2.03-2.04



# 4
Ba3IrO: optimized geometry, PBEsol.

Summary:
Raw total energy (eV per atom): -5.117
Formation energy from raw total energies (eV per atom): -0.8131

a b c (Å): 5.2053 5.2053 5.2053
angles (deg): 90.00 90.00 90.00
With the nearest neighbours (Å) after each atom.
Space group Pm-3m (No. 221)
One atom of each set of equivalent atoms:
Ba (0.0000, 0.0000, 0.5000) [3 per cell]  2 O 2.60
Ir (0.5000, 0.5000, 0.5000) [1 per cell]  12 Ba 3.68
O (0.0000, 0.0000, 0.0000) [1 per cell]  6 Ba 2.60



# 5
Ba2IrO4: optimized geometry, PBEsol.

Summary:
Raw total energy (eV per atom): -6.920
Formation energy from raw total energies (eV per atom): -1.9027

a b c (Å): 4.0054 4.0054 13.2923
angles (deg): 90.00 90.00 90.00
With the nearest neighbours (Å) after each atom.
Space group I4/mmm (No. 139)
One atom of each set of equivalent atoms:
Ba (0.0000, 0.0000, 0.1452) [4 per cell]  9 O 2.66-2.84
Ir (0.0000, 0.0000, 0.5000) [2 per cell]  6 O 2.00-2.06
O (0.0000, 0.0000, 0.3453) [4 per cell]  1 Ir 2.06
O (0.0000, 0.5000, 0.0000) [4 per cell]  2 Ir 2.00



# 6
Ba10Pr5IrRu4O30: optimized geometry, PBEsol.

Summary:
Raw total energy (eV per atom): -7.460
Formation energy from raw total energies (eV per atom): -2.3516

a b c (Å): 6.0132 6.0132 73.6856
angles (deg): 90.00 90.00 120.00
With the nearest neighbours (Å) after each atom.
Space group R-3m (No. 166, hexagonal axes)
One atom of each set of equivalent atoms:
Ba (0.0000, 0.0000, 0.0500) [6 per cell]  12 O 3.01-3.02
Ba (0.0000, 0.0000, 0.1497) [6 per cell]  12 O 2.99-3.03
Ba (0.0000, 0.0000, 0.2501) [6 per cell]  12 O 3.01-3.02
Ba (0.0000, 0.0000, 0.3500) [6 per cell]  12 O 3.01
Ba (0.0000, 0.0000, 0.4495) [6 per cell]  12 O 2.98-3.05
Pr (0.0000, 0.0000, 0.0000) [3 per cell]  6 O 2.31
Pr (0.0000, 0.0000, 0.2001) [6 per cell]  6 O 2.30
Pr (0.0000, 0.0000, 0.3999) [6 per cell]  6 O 2.31
Ir (0.0000, 0.0000, 0.5000) [3 per cell]  6 O 1.95
Ru (0.0000, 0.0000, 0.1000) [6 per cell]  6 O 1.94-1.95
Ru (0.0000, 0.0000, 0.3000) [6 per cell]  6 O 1.94
O (0.0266, 0.5133, 0.1514) [18 per cell]  1 Ir 1.95
O (0.0284, 0.5142, 0.3514) [18 per cell]  1 Ru 1.94
O (0.0279, 0.5139, 0.7514) [18 per cell]  1 Ru 1.95
O (0.0286, 0.5143, 0.5514) [18 per cell]  1 Ru 1.94
O (0.0285, 0.5143, 0.9514) [18 per cell]  1 Ru 1.94



# 7
Ba3TbIrRuO9: optimized geometry, PBEsol.

Summary:
Raw total energy (eV per atom): -7.464
Formation energy from raw total energies (eV per atom): -2.2178

a b c (Å): 5.8663 5.8663 14.5113
angles (deg): 90.00 90.00 120.00
With the nearest neighbours (Å) after each atom.
Space group P6_3mc (No. 186)
One atom of each set of equivalent atoms:
Ba (0.0000, 0.0000, 0.0000) [2 per cell]  12 O 2.93-2.98
Ba (0.3333, 0.6667, 0.1578) [2 per cell]  12 O 2.89-3.04
Ba (0.3333, 0.6667, 0.8452) [2 per cell]  12 O 2.89-3.11
Tb (0.0000, 0.0000, 0.2504) [2 per cell]  6 O 2.19-2.22
Ir (0.3333, 0.6667, 0.4150) [2 per cell]  6 O 1.96-2.03
Ru (0.3333, 0.6667, 0.5863) [2 per cell]  6 O 1.92-2.02
O (0.0185, 0.5093, 0.5013) [6 per cell]  1 Ru 2.02, 1 Ir 2.03
O (0.1766, 0.3531, 0.3364) [6 per cell]  1 Ir 1.96, 1 Tb 2.19
O (0.1772, 0.3545, 0.6611) [6 per cell]  1 Ru 1.92



# 8
Ba3TmIrRuO9: optimized geometry, PBEsol.

Summary:
Raw total energy (eV per atom): -7.486
Formation energy from raw total energies (eV per atom): -2.2472

a b c (Å): 5.8334 5.8334 14.3909
angles (deg): 90.00 90.00 120.00
With the nearest neighbours (Å) after each atom.
Space group P6_3mc (No. 186)
One atom of each set of equivalent atoms:
Ba (0.0000, 0.0000, 0.0000) [2 per cell]  12 O 2.92-2.96
Ba (0.3333, 0.6667, 0.1572) [2 per cell]  12 O 2.89-3.04
Ba (0.3333, 0.6667, 0.8405) [2 per cell]  12 O 2.89-2.99
Tm (0.0000, 0.0000, 0.2496) [2 per cell]  6 O 2.15-2.18
Ir (0.3333, 0.6667, 0.5858) [2 per cell]  6 O 1.97-2.03
Ru (0.3333, 0.6667, 0.4126) [2 per cell]  6 O 1.93-2.01
O (0.0186, 0.5093, 0.4986) [6 per cell]  1 Ru 2.01, 1 Ir 2.03
O (0.1750, 0.3501, 0.6651) [6 per cell]  1 Ir 1.97, 1 Tm 2.15
O (0.1757, 0.3514, 0.3370) [6 per cell]  1 Ru 1.93



Question: formation energy from raw total energies of number 7 (Ba3TbIrRuO9)?
Answer: -2.2178 eV per atom



Please write out number 1 again, unchanged.
Ba3NiIrRuO9: optimized geometry, PBEsol.

Summary:
Raw total energy (eV per atom): -7.020
Formation energy from raw total energies (eV per atom): -1.6969

a b c (Å): 5.7023 5.7023 14.0088
angles (deg): 90.00 90.00 120.00
With the nearest neighbours (Å) after each atom.
Space group P-3m1 (No. 164)
One atom of each set of equivalent atoms:
Ba (0.0000, 0.0000, 0.2487) [2 per cell]  12 O 2.85-2.91
Ba (0.3333, 0.6667, 0.5861) [2 per cell]  12 O 2.85-2.86
Ba (0.3333, 0.6667, 0.9160) [2 per cell]  12 O 2.85-2.93
Ni (0.0000, 0.0000, 0.0000) [1 per cell]  6 O 2.03
Ni (0.0000, 0.0000, 0.5000) [1 per cell]  6 O 2.03
Ir (0.3333, 0.6667, 0.1610) [2 per cell]  6 O 1.96-2.01
Ru (0.3333, 0.6667, 0.3435) [2 per cell]  6 O 1.93-2.01
O (0.0193, 0.5096, 0.2523) [6 per cell]  1 Ru 2.01, 1 Ir 2.01
O (0.1685, 0.3370, 0.0831) [6 per cell]  1 Ir 1.96, 1 Ni 2.03
O (0.1700, 0.3401, 0.4187) [6 per cell]  1 Ru 1.93, 1 Ni 2.03